Crystalline ZnFeO2 at its relaxed geometry. Source: Alexandria via LeMat-Bulk, functional GGA+U.

Cell and atoms, written as POSCAR:
```
ZnFeO2
1.0
4.597 0.000 0.000
0.000 4.597 0.000
0.000 0.000 9.702
Zn Fe O
4 4 8
Direct
0.000 0.000 0.000
0.000 0.500 0.250
0.500 0.000 0.750
0.500 0.500 0.500
0.000 0.000 0.500
0.000 0.500 0.750
0.500 0.000 0.250
0.500 0.500 0.000
0.243 0.250 0.125
0.250 0.743 0.375
0.250 0.757 0.875
0.257 0.250 0.625
0.743 0.750 0.625
0.750 0.243 0.875
0.750 0.257 0.375
0.757 0.750 0.125
```

N(E_F)	0.00	states/eV per cell
excess energy over the best structure of this formula in the dataset	0.021	eV per atom
uncorrected energy	-5.560	eV per atom
space-group type	I-42d